DFT (PBE) results for a relaxed Al2VAu2 crystal.

Computed properties:
formation enthalpy at 0 K	-73.2	meV per atom
E above lowest polymorph	13	meV/atom
energy	-4.70	eV per atom
symmetry	P4/mbm

Cell lengths 7.477, 7.477, 2.998 Å; angles 90.00, 90.00, 90.00 degrees
Positions (direct):
Al 0.168 0.332 0.000
Al 0.332 0.832 0.000
Al 0.668 0.168 0.000
Al 0.832 0.668 0.000
V 0.000 0.000 0.500
V 0.500 0.500 0.500
Au 0.134 0.634 0.500
Au 0.366 0.134 0.500
Au 0.634 0.866 0.500
Au 0.866 0.366 0.500


DFT (PBE) results for a relaxed NpNbS3 crystal.

Computed properties:
E above lowest polymorph	331	meV/atom
energy	-7.97	eV per atom
symmetry	C2/m
formation energy without anion corrections	-0.89	eV per atom

Cell lengths 7.690, 7.690, 9.244 Å; angles 106.96, 106.96, 25.37 degrees
Positions (direct):
Np 0.148 0.148 0.343
Np 0.852 0.852 0.657
Nb 0.341 0.341 0.145
Nb 0.659 0.659 0.855
S 0.039 0.039 0.735
S 0.165 0.165 0.057
S 0.334 0.334 0.426
S 0.666 0.666 0.574
S 0.835 0.835 0.943
S 0.961 0.961 0.265


DFT (PBE) results for a relaxed AcAl3PdPt crystal.

Computed properties:
formation enthalpy at 0 K	-658.8	meV per atom
energy	-5.09	eV per atom
symmetry	Cmcm

Cell lengths 6.947, 6.947, 6.758 Å; angles 90.00, 90.00, 124.09 degrees
Positions (direct):
Ac 0.242 0.758 0.750
Ac 0.758 0.242 0.250
Al 0.211 0.789 0.250
Al 0.282 0.282 0.000
Al 0.282 0.282 0.500
Al 0.718 0.718 0.000
Al 0.718 0.718 0.500
Al 0.789 0.211 0.750
Pd 0.401 0.599 0.250
Pd 0.599 0.401 0.750
Pt 0.021 0.979 0.250
Pt 0.979 0.021 0.750